Compound: MgAgOF2
Source: Alexandria via LeMat-Bulk
Functional: PBE
Structure: relaxed

Cell: 3.634 3.634 7.265 Å, 90.00 90.00 90.00°
Space group P4/mmm (No. 123)
Asymmetric unit:
Mg 0.000 0.000 0.000 (multiplicity 1)
Ag 0.000 0.000 0.500 (multiplicity 1)
O 0.500 0.500 0.500 (multiplicity 1)
F 0.000 0.500 0.000 (multiplicity 2)

Summary:
Energy relative to the lowest polymorph listed for this composition: 119 kJ/mol of formula units
Volume: 19.19 Å³/atom
Uncorrected formation energy: -7.64 eV/f.u.
Electronic total energy: -0.153 hartree per atom

***

Compound: MgAgOF2
Source: Alexandria via LeMat-Bulk
Functional: PBE
Structure: relaxed

Cell: 3.788 3.788 4.287 Å, 90.00 90.00 90.00°
Space group P4/mmm (No. 123)
Asymmetric unit:
Mg 0.000 0.000 0.000 (multiplicity 1)
Ag 0.500 0.500 0.500 (multiplicity 1)
O 0.000 0.000 0.500 (multiplicity 1)
F 0.000 0.500 0.000 (multiplicity 2)

Summary:
Energy relative to the lowest polymorph listed for this composition: 0 kJ/mol of formula units
Volume: 12.31 Å³/atom
Uncorrected formation energy: -8.87 eV/f.u.
Electronic total energy: -0.162 hartree per atom

***

Compound: MgAgOF2
Source: Alexandria via LeMat-Bulk
Functional: PBE
Structure: relaxed

Cell: 4.257 4.257 4.202 Å, 90.00 90.00 90.00°
Space group P4/mmm (No. 123)
Asymmetric unit:
Mg 0.000 0.000 0.000 (multiplicity 1)
Ag 0.500 0.500 0.500 (multiplicity 1)
O 0.500 0.500 0.000 (multiplicity 1)
F 0.000 0.500 0.500 (multiplicity 2)

Summary:
Energy relative to the lowest polymorph listed for this composition: 374 kJ/mol of formula units
Volume: 15.23 Å³/atom
Uncorrected formation energy: -5.00 eV/f.u.
Electronic total energy: -0.133 hartree per atom

***

Compound: MgAgPbF6
Source: Alexandria via LeMat-Bulk
Functional: PBE
Structure: relaxed

Cell: 5.7959 5.7959 9.5575 Å, 90.00 90.00 120.00°
Space group P-31c (No. 163)
Asymmetric unit:
Mg 0.3333 0.6667 0.2500 (multiplicity 2)
Ag 0.0000 0.0000 0.0000 (multiplicity 2)
Pb 0.3333 0.6667 0.7500 (multiplicity 2)
F 0.0382 0.3725 0.1343 (multiplicity 12)

Summary:
Volume: 15.45 Å³/atom
Uncorrected formation energy: -20.53 eV/f.u.
Electronic total energy: -0.163 hartree per atom

***

Compound: MgAg2PbF6
Source: Alexandria via LeMat-Bulk
Functional: PBE
Structure: relaxed

Cell: 5.888 6.090 10.286 Å, 90.00 124.24 90.00°
Space group P2_1/c (No. 14)
Asymmetric unit:
Mg 0.000 0.000 0.000 (multiplicity 2)
Ag 0.230 0.064 0.750 (multiplicity 4)
Pb 0.500 0.000 0.500 (multiplicity 2)
F 0.092 0.222 0.429 (multiplicity 4)
F 0.212 0.674 0.436 (multiplicity 4)
F 0.346 0.054 0.221 (multiplicity 4)

Summary:
Volume: 15.24 Å³/atom
Uncorrected formation energy: -21.47 eV/f.u.
Electronic total energy: -0.161 hartree per atom

***

Compound: MgAgPdF5
Source: Alexandria via LeMat-Bulk
Functional: PBE
Structure: relaxed

Cell: 6.115 9.754 7.705 Å, 90.00 105.03 90.00°
Space group C2/c (No. 15)
Asymmetric unit:
Mg 0.000 0.000 0.000 (multiplicity 4)
Ag 0.000 0.293 0.250 (multiplicity 4)
Pd 0.000 0.347 0.750 (multiplicity 4)
F 0.000 0.054 0.250 (multiplicity 4)
F 0.040 0.199 0.942 (multiplicity 8)
F 0.152 0.497 0.414 (multiplicity 8)

Summary:
Volume: 13.87 Å³/atom
Uncorrected formation energy: -15.39 eV/f.u.
Electronic total energy: -0.158 hartree per atom

***

Compound: MgAgPdF6
Source: Alexandria via LeMat-Bulk
Functional: PBE
Structure: relaxed

Cell: 5.4166 5.4166 10.1398 Å, 90.00 90.00 120.00°
Space group P-31c (No. 163)
Asymmetric unit:
Mg 0.3333 0.6667 0.2500 (multiplicity 2)
Ag 0.0000 0.0000 0.0000 (multiplicity 2)
Pd 0.3333 0.6667 0.7500 (multiplicity 2)
F 0.0086 0.3597 0.1424 (multiplicity 12)

Summary:
Volume: 14.31 Å³/atom
Uncorrected formation energy: -17.51 eV/f.u.
Electronic total energy: -0.157 hartree per atom

***

Compound: MgAgPtF6
Source: Alexandria via LeMat-Bulk
Functional: PBE
Structure: relaxed

Cell: 5.4778 5.4778 10.3156 Å, 90.00 90.00 120.00°
Space group P-31c (No. 163)
Asymmetric unit:
Mg 0.3333 0.6667 0.2500 (multiplicity 2)
Ag 0.0000 0.0000 0.0000 (multiplicity 2)
Pt 0.3333 0.6667 0.7500 (multiplicity 2)
F 0.0102 0.3627 0.1451 (multiplicity 12)

Summary:
Volume: 14.89 Å³/atom
Uncorrected formation energy: -16.76 eV/f.u.
Electronic total energy: -0.157 hartree per atom

***

Compound: Rb3Mg2AgF9
Source: Alexandria via LeMat-Bulk
Functional: PBE
Structure: relaxed

Cell: 5.9756 5.9756 7.3635 Å, 90.00 90.00 120.00°
Space group P-3m1 (No. 164)
Asymmetric unit:
Rb 0.0000 0.0000 0.0000 (multiplicity 1)
Rb 0.3333 0.6667 0.6606 (multiplicity 2)
Mg 0.3333 0.6667 0.1514 (multiplicity 2)
Ag 0.0000 0.0000 0.5000 (multiplicity 1)
F 0.0000 0.5000 0.0000 (multiplicity 3)
F 0.1763 0.3527 0.3186 (multiplicity 6)

Summary:
Volume: 15.18 Å³/atom
Uncorrected formation energy: -41.44 eV/f.u.
Electronic total energy: -0.165 hartree per atom

***

Compound: RbMgAgF6
Source: Alexandria via LeMat-Bulk
Functional: PBE
Structure: relaxed

Cell: 7.368 7.844 10.646 Å, 90.00 90.00 90.00°
Space group Imma (No. 74)
Asymmetric unit:
Rb 0.000 0.250 0.081 (multiplicity 4)
Mg 0.250 0.250 0.750 (multiplicity 4)
Ag 0.000 0.000 0.500 (multiplicity 4)
F 0.000 0.250 0.426 (multiplicity 4)
F 0.000 0.250 0.803 (multiplicity 4)
F 0.216 0.060 0.621 (multiplicity 16)

Summary:
Volume: 17.09 Å³/atom
Uncorrected formation energy: -20.39 eV/f.u.
Electronic total energy: -0.151 hartree per atom

***

Compound: Rb4Mg3AgF12
Source: Alexandria via LeMat-Bulk
Functional: PBE
Structure: relaxed

Cell: 8.428 8.428 8.428 Å, 90.00 90.00 90.00°
Space group Im-3m (No. 229)
Asymmetric unit:
Rb 0.250 0.250 0.250 (multiplicity 8)
Mg 0.000 0.000 0.500 (multiplicity 6)
Ag 0.000 0.000 0.000 (multiplicity 2)
F 0.000 0.000 0.265 (multiplicity 12)
F 0.000 0.250 0.500 (multiplicity 12)

Summary:
Volume: 14.97 Å³/atom
Uncorrected formation energy: -57.56 eV/f.u.
Electronic total energy: -0.168 hartree per atom

***

Compound: Rb3MgAg2F9
Source: Alexandria via LeMat-Bulk
Functional: PBE
Structure: relaxed

Cell: 6.1206 6.1206 7.5100 Å, 90.00 90.00 120.00°
Space group P-3m1 (No. 164)
Asymmetric unit:
Rb 0.0000 0.0000 0.0000 (multiplicity 1)
Rb 0.3333 0.6667 0.6640 (multiplicity 2)
Mg 0.0000 0.0000 0.5000 (multiplicity 1)
Ag 0.3333 0.6667 0.1761 (multiplicity 2)
F 0.0000 0.5000 0.0000 (multiplicity 3)
F 0.1563 0.3126 0.3442 (multiplicity 6)

Summary:
Volume: 16.24 Å³/atom
Uncorrected formation energy: -34.69 eV/f.u.
Electronic total energy: -0.151 hartree per atom

***

Copy entry 2 word for word.
Compound: MgAgOF2
Source: Alexandria via LeMat-Bulk
Functional: PBE
Structure: relaxed

Cell: 3.788 3.788 4.287 Å, 90.00 90.00 90.00°
Space group P4/mmm (No. 123)
Asymmetric unit:
Mg 0.000 0.000 0.000 (multiplicity 1)
Ag 0.500 0.500 0.500 (multiplicity 1)
O 0.000 0.000 0.500 (multiplicity 1)
F 0.000 0.500 0.000 (multiplicity 2)

Summary:
Energy relative to the lowest polymorph listed for this composition: 0 kJ/mol of formula units
Volume: 12.31 Å³/atom
Uncorrected formation energy: -8.87 eV/f.u.
Electronic total energy: -0.162 hartree per atom